Entry 1:
This record from Alexandria describes an optimized crystal structure of CsCa2C. The functional is PBEsol.

abc: 7.8040 7.8040 7.8040
angles: 60.00 60.00 60.00
Sites, in units of the cell vectors:
Cs (0.7500, 0.7500, 0.7500)
Cs (0.5000, 0.5000, 0.5000)
C (0.0000, 0.0000, 0.0000)
C (0.2500, 0.2500, 0.2500)
Ca (0.6250, 0.1250, 0.1250)
Ca (0.1250, 0.6250, 0.1250)
Ca (0.1250, 0.1250, 0.1250)
Ca (0.1250, 0.1250, 0.6250)

Output
DFT formation energy	497	meV per atom
density of states at the Fermi level	4.0	states/eV per cell
crystal system	cubic


Entry 2:
This record from Alexandria describes an optimized crystal structure of ZrTa2Pt. The functional is PBEsol.

abc: 3.5258 4.4956 5.2907
angles: 115.14 109.46 90.00
Sites, in units of the cell vectors:
Zr (0.5024, 0.5024, 0.0047)
Ta (0.9991, 0.9991, 0.9983)
Ta (0.7452, 0.2452, 0.4903)
Pt (0.2533, 0.7533, 0.5067)

Output
DFT formation energy	-276	meV per atom
density of states at the Fermi level	4.4	states/eV per cell
crystal system	orthorhombic


Entry 3:
This record from Alexandria describes an optimized crystal structure of K3Cr2As3O12. The functional is PBEsol.

abc: 10.8964 10.8964 10.8964
angles: 109.47 109.47 109.47
Site moments in Bohr magnetons follow the coordinates.
Sites, in units of the cell vectors:
K (0.3750, 0.2500, 0.6250)  0.00
K (0.7500, 0.3750, 0.6250)  0.00
K (0.6250, 0.8750, 0.7500)  0.00
K (0.7500, 0.8750, 0.1250)  0.00
K (0.1250, 0.7500, 0.8750)  0.00
K (0.3750, 0.1250, 0.2500)  0.00
K (0.1250, 0.3750, 0.7500)  0.00
K (0.8750, 0.2500, 0.1250)  0.00
K (0.2500, 0.1250, 0.8750)  0.00
K (0.2500, 0.6250, 0.3750)  0.00
K (0.8750, 0.6250, 0.2500)  0.00
K (0.6250, 0.7500, 0.3750)  0.00
As (0.3750, 0.7500, 0.1250)  0.03
As (0.7500, 0.1250, 0.3750)  0.03
As (0.3750, 0.6250, 0.7500)  0.03
As (0.6250, 0.3750, 0.2500)  0.03
As (0.1250, 0.2500, 0.3750)  0.03
As (0.2500, 0.8750, 0.6250)  0.03
As (0.8750, 0.1250, 0.7500)  0.03
As (0.1250, 0.8750, 0.2500)  0.03
As (0.2500, 0.3750, 0.1250)  0.03
As (0.6250, 0.2500, 0.8750)  0.03
As (0.7500, 0.6250, 0.8750)  0.03
As (0.8750, 0.7500, 0.6250)  0.03
O (0.3944, 0.4986, 0.3085)  0.00
O (0.8958, 0.0859, 0.8944)  0.00
O (0.1901, 0.1915, 0.0859)  0.00
O (0.8085, 0.4141, 0.3099)  0.00
O (0.3099, 0.9141, 0.8085)  0.00
O (0.1915, 0.6056, 0.0014)  0.00
O (0.8958, 0.8099, 0.5014)  0.00
O (0.3958, 0.8944, 0.0859)  0.00
O (0.5014, 0.3099, 0.8958)  0.00
O (0.8099, 0.0014, 0.3958)  0.00
O (0.0014, 0.1056, 0.1915)  0.00
O (0.6056, 0.5014, 0.6915)  0.00
O (0.3958, 0.5014, 0.8099)  0.00
O (0.8099, 0.8085, 0.9141)  0.00
O (0.0859, 0.6915, 0.1901)  0.00
O (0.1042, 0.1901, 0.4986)  0.00
O (0.1042, 0.9141, 0.1056)  0.00
O (0.6915, 0.6901, 0.5859)  0.00
O (0.6901, 0.0859, 0.1915)  0.00
O (0.9141, 0.6056, 0.6042)  0.00
O (0.1901, 0.9986, 0.6042)  0.00
O (0.9986, 0.8944, 0.8085)  0.00
O (0.6915, 0.0014, 0.6056)  0.00
O (0.5014, 0.1915, 0.1056)  0.00
O (0.4986, 0.8085, 0.8944)  0.00
O (0.3085, 0.9986, 0.3944)  0.00
O (0.4141, 0.8099, 0.3085)  0.00
O (0.6042, 0.1056, 0.9141)  0.00
O (0.1056, 0.4141, 0.1042)  0.00
O (0.3099, 0.3958, 0.0014)  0.00
O (0.5859, 0.1901, 0.6915)  0.00
O (0.4141, 0.6042, 0.6056)  0.00
O (0.6042, 0.4986, 0.1901)  0.00
O (0.0859, 0.3944, 0.3958)  0.00
O (0.8944, 0.3085, 0.4986)  0.00
O (0.8944, 0.5859, 0.8958)  0.00
O (0.3944, 0.8958, 0.5859)  0.00
O (0.3085, 0.3099, 0.4141)  0.00
O (0.1915, 0.5859, 0.6901)  0.00
O (0.6056, 0.1042, 0.4141)  0.00
O (0.6901, 0.6042, 0.9986)  0.00
O (0.4986, 0.6901, 0.1042)  0.00
O (0.9986, 0.1042, 0.6901)  0.00
O (0.5859, 0.3958, 0.3944)  0.00
O (0.1056, 0.6915, 0.5014)  0.00
O (0.9141, 0.3085, 0.8099)  0.00
O (0.0014, 0.8958, 0.3099)  0.00
O (0.8085, 0.3944, 0.9986)  0.00
Cr (0.5000, 0.0000, 0.5000)  2.77
Cr (0.5000, 0.0000, 0.0000)  2.77
Cr (0.0000, 0.5000, 0.5000)  2.77
Cr (0.0000, 0.5000, 0.0000)  2.77
Cr (0.0000, 0.0000, 0.0000)  2.77
Cr (0.5000, 0.5000, 0.5000)  2.77
Cr (0.5000, 0.5000, 0.0000)  2.77
Cr (0.0000, 0.0000, 0.5000)  2.77

Output
crystal system	cubic
energy relative to the elements, uncorrected	-1.559	eV per atom


Entry 4:
This record from Alexandria describes an optimized crystal structure of ZrAg2Hg. The functional is PBEsol.

abc: 2.9715 4.9950 5.3935
angles: 98.82 90.00 107.30
Sites, in units of the cell vectors:
Zr (0.7502, 0.5003, 0.2447)
Ag (0.9971, 0.9942, 0.9904)
Ag (0.2508, 0.5017, 0.7554)
Hg (0.5019, 0.0038, 0.5095)

Output
DFT formation energy	-11	meV per atom
density of states at the Fermi level	2.9	states/eV per cell
crystal system	monoclinic